Entry 1:
A plane-wave DFT calculation with PBE-GGA was carried out for a relaxed MgBe2Si crystal.

The space group is Cmmm (No. 65) and the conventional cell measures 5.159, 7.106 and 2.890 Å, with angles of 90.00, 90.00 and 90.00 degrees. Symmetry generates all atoms from Mg at (0.000, 0.000, 0.000), Be at (0.250, 0.250, 0.500) and Si at (0.000, 0.500, 0.000).

As for the energy above the most stable polymorph in this dataset: 38.83 kJ/mol of atoms. The value obtained for the final energy is -25.33 eV for the cell shown.

=====

Entry 2:
A plane-wave DFT calculation with PBE-GGA was carried out for a relaxed MgBe2Si crystal.

The space group is C2/m (No. 12) and the conventional cell measures 7.679, 2.791 and 5.141 Å, with angles of 90.00, 102.03 and 90.00 degrees. Symmetry generates all atoms from Mg at (0.000, 0.000, 0.000), Be at (0.243, 0.000, 0.671) and Si at (0.000, 0.500, 0.500).

As for the energy above the most stable polymorph in this dataset: 27.56 kJ/mol of atoms. The value obtained for the final energy is -26.26 eV for the cell shown.

=====

| no. | formation energy from raw total energies (meV/atom) |
| --- | --- |
| 1 | 452 |
| 2 | 335 |